# 1
Entry from Alexandria via LeMat-Bulk: a geometry-optimized SbAsBr3 structure (GGA-PBE).

```
5
Lattice="5.3938 0.0000 0.0000 0.0000 5.3938 0.0000 0.0000 0.0000 5.3938" Properties=species:S:1:pos:R:3 pbc="T T T"
Sb 0.0000 0.0000 0.0000
As 2.6969 2.6969 2.6969
Br 0.0000 2.6969 2.6969
Br 2.6969 0.0000 2.6969
Br 2.6969 2.6969 0.0000
```

Values from the calculation:
For the energy, the calculation gives -2.526 eV per atom. Its energy relative to the elements, uncorrected is 0.23 eV/atom. As for the density of states at the Fermi level: 4.42 states/eV/f.u. The energy relative to the lowest polymorph listed for this composition is 0.040 eV/atom.

---

# 2
Entry from Alexandria via LeMat-Bulk: a geometry-optimized SbAsBr structure (GGA-PBE).

```
3
Lattice="5.0788 0.0000 0.0000 -2.5394 4.3984 0.0000 0.0000 0.0000 3.2293" Properties=species:S:1:pos:R:3 pbc="T T T"
Sb 0.0000 0.0000 0.0000
As 0.0000 2.9322 0.0000
Br 2.5394 1.4661 1.6147
```

Values from the calculation:
For the energy, the calculation gives -3.290 eV per atom. Its energy relative to the elements, uncorrected is 0.19 eV/atom. As for the density of states at the Fermi level: 1.56 states/eV/f.u. The energy relative to the lowest polymorph listed for this composition is 0.292 eV/atom.

---

# 3
Entry from Alexandria via LeMat-Bulk: a geometry-optimized Sb2AsBr8 structure (GGA-PBE).

```
11
Lattice="6.5464 -3.9660 0.0000 6.5464 3.9660 0.0000 -1.7390 0.0000 9.2016" Properties=species:S:1:pos:R:3 pbc="T T T"
Sb 1.0205 0.0000 3.5340
Sb 10.3332 0.0000 5.6677
As 0.0000 0.0000 0.0000
Br 0.2636 0.0000 6.2374
Br 3.6125 2.0745 7.7197
Br 3.5462 0.0000 4.1190
Br 7.7413 2.0745 1.4819
Br 3.6125 -2.0745 7.7197
Br 7.8075 0.0000 5.0826
Br 7.7413 -2.0745 1.4819
Br 11.0901 0.0000 2.9642
```

Values from the calculation:
For the energy, the calculation gives -2.771 eV per atom. Its energy relative to the elements, uncorrected is -0.38 eV/atom.